Record 1
DFT (PBE) results for Hg2RuF5 after structural relaxation.

Calculated values
- VASP energy (eV per formula unit) = -29.6
- V (Å³/atom) = 21.3
- E_form (uncorrected) (eV per formula unit) = -10.3
- SG = P1

a b c (Å): 5.2292 6.0494 6.0780
angles (deg): 85.88 69.96 70.71
Closest atoms and distances in Å follow each position.
Fractional positions:
Hg 0.0000 0.0000 0.0000  2 Hg 2.75, 2 F 2.91-2.92
Hg 0.4147 0.1081 0.1097  1 F 2.57, 2 Hg 2.75
Ru 0.5903 0.5159 0.5168  5 F 1.91-2.07
F 0.2900 0.4235 0.4266  1 Ru 2.07
F 0.4064 0.5282 0.8507  1 Ru 1.92
F 0.4069 0.8493 0.5287  1 Ru 1.92
F 0.8180 0.1982 0.5281  1 Ru 1.91
F 0.8206 0.5280 0.1984  1 Ru 1.91


Record 2
DFT (PBE) results for LiTm4Cu2 after structural relaxation.

Calculated values
- VASP energy (eV per formula unit) = -28.3
- energy relative to the elements (meV/atom) = -44.6
- V (Å³/atom) = 22.9
- SG = R-3m

a b c (Å): 8.3122 8.3122 8.3122
angles (deg): 34.06 34.06 34.06
Closest atoms and distances in Å follow each position.
Fractional positions:
Li 0.0000 0.0000 0.0000  8 Tm 3.03-3.05, 6 Cu 3.36
Tm 0.1299 0.1299 0.1299  4 Cu 2.94-3.06, 1 Li 3.05
Tm 0.3814 0.3814 0.3814  4 Cu 2.90-2.96, 3 Li 3.03
Tm 0.6186 0.6186 0.6186  4 Cu 2.90-2.96, 3 Li 3.03
Tm 0.8701 0.8701 0.8701  4 Cu 2.94-3.06, 1 Li 3.05
Cu 0.2551 0.2551 0.2551  8 Tm 2.90-3.06
Cu 0.7449 0.7449 0.7449  8 Tm 2.90-3.06


Record 3
DFT (PBE) results for BSbIN2 after structural relaxation.

Calculated values
- VASP energy (eV per formula unit) = -18.9
- ΔE to the lowest computed polymorph (meV per atom) = 109
- V (Å³/atom) = 14.8
- E_form (uncorrected) (eV per formula unit) = 10.1
- SG = P4/mmm

a b c (Å): 4.0240 4.0240 4.5572
angles (deg): 90.00 90.00 90.00
Closest atoms and distances in Å follow each position.
Fractional positions:
B 0.0000 0.0000 0.0000  4 N 2.01
Sb 0.5000 0.5000 0.5000  4 I 2.85, 8 N 3.04
I 0.0000 0.0000 0.5000  2 B 2.28
N 0.0000 0.5000 0.0000  2 B 2.01
N 0.5000 0.0000 0.0000  2 B 2.01


Record 4
DFT (PBE) results for TaP2Os after structural relaxation.

Calculated values
- VASP energy (eV per formula unit) = -33.9
- energy relative to the elements (meV/atom) = 7.6
- ΔE to the lowest computed polymorph (meV per atom) = 325
- V (Å³/atom) = 14.5
- SG = R-3m

a b c (Å): 7.9674 7.9674 7.9674
angles (deg): 21.23 21.23 21.23
Closest atoms and distances in Å follow each position.
Fractional positions:
Ta 0.0000 0.0000 0.0000  6 P 2.69, 6 Ta 2.94
P 0.2439 0.2439 0.2439  3 Os 2.48, 3 Ta 2.69
P 0.7561 0.7561 0.7561  3 Os 2.48, 3 Ta 2.69
Os 0.5000 0.5000 0.5000  6 P 2.48